[1]
The following is a GGA-PBEsol calculation of crystalline MgSc2Zn at its relaxed geometry, from Alexandria via LeMat-Bulk.

Unit cell a=4.2437 b=4.2437 c=5.3994 alpha=113.14 beta=113.14 gamma=90.00
Element x y z (fractional)
Sc (0.0000, 0.0000, 0.0000)
Mg (0.2500, 0.7500, 0.5000)
Zn (0.5000, 0.5000, 0.0000)
Sc (0.7500, 0.2500, 0.5000)

Magnetic moment   0.00 μB per atom
Crystal system   tetragonal
ΔE_f   -30 meV per atom
DOS at the Fermi energy   1.01 states/eV/atom

***

[2]
The following is a GGA-PBEsol calculation of crystalline MgSc2Zn at its relaxed geometry, from Alexandria via LeMat-Bulk.

Unit cell a=3.1270 b=3.1270 c=8.3891 alpha=90.00 beta=90.00 gamma=90.00
Element x y z (fractional)
Sc (0.0000, 0.0000, 0.0005)
Sc (0.5000, 0.5000, 0.2829)
Zn (0.0000, 0.0000, 0.5010)
Mg (0.5000, 0.5000, 0.7156)

Magnetic moment   0.00 μB per atom
Crystal system   tetragonal
ΔE_f   -131 meV per atom
DOS at the Fermi energy   1.23 states/eV/atom